KTaCuO4 PBE relaxed; DOS at the Fermi energy = 1.5 states/eV per cell; energy = -7.1090 eV/atom; formation energy from raw total energies = -1841 meV/atom; total moment = 0.99 μB per formula unit; theoretical density = 5.717 Mg/m³; SG = Imma, No. 74
1.0
-3.604 -4.339 1.640
1.711 -0.014 -6.798
4.307 -2.106 3.894
K O Cu Ta
2 8 2 2
direct
0.831 0.663 0.081
0.169 0.337 0.919
0.683 0.365 0.634
0.726 0.019 0.759
0.683 0.365 0.232
0.317 0.635 0.768
0.274 0.981 0.241
0.707 0.981 0.241
0.293 0.019 0.759
0.317 0.635 0.366
0.000 0.500 0.500
0.500 0.500 0.500
0.500 0.000 0.500
0.500 0.000 0.000